{
  "formula": "ZrAs2Ru",
  "functional": "PBE-GGA",
  "state": "optimized geometry",
  "polymorph_energy_mev_per_atom": 222,
  "magnetic_moment_mub_per_cell": 0.0,
  "spacegroup": "Amm2",
  "formation_enthalpy_0k_mev_per_atom": -383,
  "cell": [[4.5452, 0.0000, 0.0000], [0.0000, 3.0533, 0.0000], [0.0000, 0.0000, 10.4852]],
  "species": ["Zr", "Zr", "As", "As", "As", "As", "Ru", "Ru"],
  "frac_coords": [[0.0000, 0.0000, 0.0000], [0.0000, 0.5000, 0.5000], [0.0000, 0.0000, 0.2691], [0.0000, 0.5000, 0.7691], [0.5000, 0.0000, 0.5745], [0.5000, 0.5000, 0.0745], [0.5000, 0.0000, 0.3426], [0.5000, 0.5000, 0.8426]]
}

---

{
  "formula": "Y2PdAu",
  "functional": "PBE-GGA",
  "state": "optimized geometry",
  "magnetic_moment_mub_per_cell": 0.0,
  "spacegroup": "I-42d",
  "formation_enthalpy_0k_mev_per_atom": -464,
  "cell": [[7.5690, 0.0000, 0.0000], [0.0000, 7.5690, 0.0000], [0.0000, 0.0000, 7.2786]],
  "species": ["Y", "Y", "Y", "Y", "Y", "Y", "Y", "Y", "Pd", "Pd", "Pd", "Pd", "Au", "Au", "Au", "Au"],
  "frac_coords": [[0.2391, 0.2500, 0.1250], [0.2500, 0.7391, 0.3750], [0.2500, 0.7609, 0.8750], [0.2609, 0.2500, 0.6250], [0.7391, 0.7500, 0.6250], [0.7500, 0.2391, 0.8750], [0.7500, 0.2609, 0.3750], [0.7609, 0.7500, 0.1250], [0.0000, 0.0000, 0.0000], [0.0000, 0.5000, 0.2500], [0.5000, 0.0000, 0.7500], [0.5000, 0.5000, 0.5000], [0.0000, 0.0000, 0.5000], [0.0000, 0.5000, 0.7500], [0.5000, 0.0000, 0.2500], [0.5000, 0.5000, 0.0000]]
}

---

{
  "formula": "Rb3SbPd",
  "functional": "PBE-GGA",
  "state": "optimized geometry",
  "polymorph_energy_mev_per_atom": 0,
  "magnetic_moment_mub_per_cell": 0.0,
  "spacegroup": "P2_13",
  "e_form_raw_ev_per_atom": -0.03,
  "cell": [[8.9508, 0.0000, 0.0000], [0.0000, 8.9508, 0.0000], [0.0000, 0.0000, 8.9508]],
  "species": ["Rb", "Rb", "Rb", "Rb", "Rb", "Rb", "Rb", "Rb", "Rb", "Rb", "Rb", "Rb", "Sb", "Sb", "Sb", "Sb", "Pd", "Pd", "Pd", "Pd"],
  "frac_coords": [[0.0593, 0.1127, 0.7938], [0.1127, 0.7938, 0.0593], [0.2062, 0.5593, 0.3873], [0.2938, 0.4407, 0.8873], [0.3873, 0.2062, 0.5593], [0.4407, 0.8873, 0.2938], [0.5593, 0.3873, 0.2062], [0.6127, 0.7062, 0.9407], [0.7062, 0.9407, 0.6127], [0.7938, 0.0593, 0.1127], [0.8873, 0.2938, 0.4407], [0.9407, 0.6127, 0.7062], [0.1819, 0.1819, 0.1819], [0.3181, 0.8181, 0.6819], [0.6819, 0.3181, 0.8181], [0.8181, 0.6819, 0.3181], [0.0799, 0.9201, 0.4201], [0.4201, 0.0799, 0.9201], [0.5799, 0.5799, 0.5799], [0.9201, 0.4201, 0.0799]]
}

---

{
  "formula": "Li2AgF5",
  "functional": "PBE-GGA",
  "state": "optimized geometry",
  "polymorph_energy_mev_per_atom": 18,
  "magnetic_moment_mub_per_cell": 0.0,
  "spacegroup": "Cmcm",
  "e_form_raw_ev_per_atom": -1.96,
  "cell": [[2.2449, -5.1470, 0.0000], [2.2449, 5.1470, 0.0000], [0.0000, 0.0000, 9.8104]],
  "species": ["Li", "Li", "Li", "Li", "Ag", "Ag", "F", "F", "F", "F", "F", "F", "F", "F", "F", "F"],
  "frac_coords": [[0.1266, 0.8734, 0.5851], [0.1266, 0.8734, 0.9149], [0.8734, 0.1266, 0.0851], [0.8734, 0.1266, 0.4149], [0.2003, 0.7997, 0.2500], [0.7997, 0.2003, 0.7500], [0.0657, 0.9343, 0.1052], [0.0657, 0.9343, 0.3948], [0.2149, 0.7851, 0.7500], [0.3285, 0.6715, 0.0960], [0.3285, 0.6715, 0.4040], [0.6715, 0.3285, 0.5960], [0.6715, 0.3285, 0.9040], [0.7851, 0.2149, 0.2500], [0.9343, 0.0657, 0.6052], [0.9343, 0.0657, 0.8948]]
}

---

{
  "formula": "BaSi3F",
  "functional": "PBE-GGA",
  "state": "optimized geometry",
  "polymorph_energy_mev_per_atom": 1561,
  "magnetic_moment_mub_per_cell": 1.0,
  "spacegroup": "Pm-3m",
  "e_form_raw_ev_per_atom": 1.60,
  "cell": [[5.8270, 0.0000, 0.0000], [0.0000, 5.8270, 0.0000], [0.0000, 0.0000, 5.8270]],
  "species": ["Ba", "Si", "Si", "Si", "F"],
  "frac_coords": [[0.0000, 0.0000, 0.0000], [0.0000, 0.0000, 0.5000], [0.0000, 0.5000, 0.0000], [0.5000, 0.0000, 0.0000], [0.5000, 0.5000, 0.5000]]
}

---

{
  "formula": "Tm6TlRu",
  "functional": "PBE-GGA",
  "state": "optimized geometry",
  "polymorph_energy_mev_per_atom": 0,
  "magnetic_moment_mub_per_cell": 0.0,
  "spacegroup": "I4/mmm",
  "formation_enthalpy_0k_mev_per_atom": -103,
  "cell": [[4.9840, 0.0000, 0.0000], [0.0000, 4.9840, 0.0000], [0.0000, 0.0000, 17.1357]],
  "species": ["Tm", "Tm", "Tm", "Tm", "Tm", "Tm", "Tm", "Tm", "Tm", "Tm", "Tm", "Tm", "Tl", "Tl", "Ru", "Ru"],
  "frac_coords": [[0.0000, 0.0000, 0.2498], [0.0000, 0.0000, 0.7502], [0.0000, 0.5000, 0.1036], [0.0000, 0.5000, 0.3964], [0.0000, 0.5000, 0.6036], [0.0000, 0.5000, 0.8964], [0.5000, 0.0000, 0.1036], [0.5000, 0.0000, 0.3964], [0.5000, 0.0000, 0.6036], [0.5000, 0.0000, 0.8964], [0.5000, 0.5000, 0.2502], [0.5000, 0.5000, 0.7498], [0.0000, 0.0000, 0.0000], [0.5000, 0.5000, 0.5000], [0.0000, 0.0000, 0.5000], [0.5000, 0.5000, 0.0000]]
}

---

{
  "formula": "InTcBRh2",
  "functional": "PBE-GGA",
  "state": "optimized geometry",
  "magnetic_moment_mub_per_cell": 0.0,
  "spacegroup": "P4/mmm",
  "formation_enthalpy_0k_mev_per_atom": -146,
  "cell": [[4.1200, 0.0000, 0.0000], [0.0000, 4.1200, 0.0000], [0.0000, 0.0000, 4.2523]],
  "species": ["In", "Tc", "B", "Rh", "Rh"],
  "frac_coords": [[0.0000, 0.0000, 0.0000], [0.5000, 0.5000, 0.0000], [0.5000, 0.5000, 0.5000], [0.0000, 0.5000, 0.5000], [0.5000, 0.0000, 0.5000]]
}